Record 1
A geometry-optimized ScGa2Co2 structure. Source: Alexandria, functional PBE.

Computed properties:
- symmetry = P4/mbm, No. 127
- DFT formation energy (eV per formula unit) = -1.65

Geometry as POSCAR:
```
ScGa2Co2
1.0
7.109 0.000 0.000
0.000 7.109 0.000
0.000 0.000 2.765
Sc Ga Co
2 4 4
direct
0.000 0.000 0.000
0.500 0.500 0.000
0.127 0.373 0.000
0.373 0.873 0.000
0.627 0.127 0.000
0.873 0.627 0.000
0.172 0.672 0.500
0.328 0.172 0.500
0.672 0.828 0.500
0.828 0.328 0.500
```


Record 2
A geometry-optimized AcTb7Pm4 structure. Source: Alexandria, functional PBE.

Computed properties:
- symmetry = P-1, No. 2
- DFT formation energy (eV per formula unit) = 0.22

Geometry as POSCAR:
```
AcTb7Pm4
1.0
6.331 0.000 0.000
-0.007 7.312 0.000
-2.109 -0.004 8.774
Ac Tb Pm
1 7 4
direct
0.000 0.000 0.000
0.000 0.500 0.000
0.224 0.999 0.664
0.279 0.252 0.335
0.500 0.252 0.001
0.500 0.748 0.999
0.721 0.748 0.665
0.776 0.001 0.336
0.221 0.499 0.668
0.280 0.748 0.336
0.720 0.252 0.664
0.779 0.501 0.332
```


Record 3
A geometry-optimized U2Ru structure. Source: Alexandria, functional PBE.

Computed properties:
- symmetry = Cmmm, No. 65
- DFT formation energy (eV per formula unit) = -0.08

Geometry as POSCAR:
```
U2Ru
1.0
1.906 -7.714 0.000
1.906 7.714 0.000
0.000 0.000 3.895
U Ru
4 2
direct
0.000 0.000 0.000
0.162 0.838 0.500
0.500 0.500 0.500
0.838 0.162 0.500
0.330 0.670 0.000
0.670 0.330 0.000
```


Record 4
A geometry-optimized HfZrSeBr2 structure. Source: Alexandria, functional PBE.

Computed properties:
- symmetry = P4/mmm, No. 123
- energy relative to the elements, uncorrected (eV/atom) = -0.05

Geometry as POSCAR:
```
HfZrSeBr2
1.0
5.169 0.000 0.000
0.000 5.169 0.000
0.000 0.000 5.213
Hf Zr Se Br
1 1 1 2
direct
0.000 0.000 0.000
0.500 0.500 0.500
0.000 0.000 0.500
0.000 0.500 0.000
0.500 0.000 0.000
```


no.,total magnetic moment (Bohr magnetons per cell)
1,0.00
2,0.00
3,1.71
4,2.71